First-principles (PBE) data for a relaxed ErTm2Pa crystal, as listed in Alexandria.

For the final energy, the calculation gives -5.654 eV/atom. The mass density is 10.76 g/cm3. As for the density of states at the Fermi level: 1.64 states/eV/atom. The value obtained for the formation enthalpy at 0 K is 0.10 eV per atom.

The space group is R3m (No. 160, hexagonal axes) and the conventional cell measures 3.3944, 3.3944 and 34.1439 Å, with angles of 90.00, 90.00 and 120.00 degrees. The asymmetric unit holds Er at (0.0000, 0.0000, 0.0000), Tm at (0.0000, 0.0000, 0.4183), Tm at (0.0000, 0.0000, 0.5808) and Pa at (0.0000, 0.0000, 0.1657).

***

First-principles (PBE) data for a relaxed Sm2Dy4Sc3 crystal, as listed in Alexandria.

For the final energy, the calculation gives -5.141 eV/atom. The mass density is 6.67 g/cm3. As for the density of states at the Fermi level: 1.53 states/eV/atom. The value obtained for the formation enthalpy at 0 K is 0.06 eV per atom.

The space group is P3m1 (No. 156) and the conventional cell measures 3.5008, 3.5008 and 25.4489 Å, with angles of 90.00, 90.00 and 120.00 degrees. The asymmetric unit holds Sm at (0.0000, 0.0000, 0.0000), Sm at (0.0000, 0.0000, 0.2127), Dy at (0.0000, 0.0000, 0.3511), Dy at (0.0000, 0.0000, 0.5587), Dy at (0.3333, 0.6667, 0.6731), Dy at (0.3333, 0.6667, 0.8822), Sc at (0.0000, 0.0000, 0.7778), Sc at (0.3333, 0.6667, 0.1078) and Sc at (0.3333, 0.6667, 0.4539).

***

First-principles (PBE) data for a relaxed Li5Br crystal, as listed in Alexandria.

For the final energy, the calculation gives -2.210 eV/atom. The mass density is 1.60 g/cm3. The formation energy from raw total energies is -336 meV per atom. As for the density of states at the Fermi level: 0.51 states/eV/atom.

The space group is Cmmm (No. 65) and the conventional cell measures 3.9092, 14.0508 and 4.3337 Å, with angles of 90.00, 90.00 and 90.00 degrees. The asymmetric unit holds Li at (0.0000, 0.0000, 0.0000), Li at (0.0000, 0.1589, 0.5000), Li at (0.0000, 0.3186, 0.0000) and Br at (0.0000, 0.5000, 0.5000).

***

First-principles (PBE) data for a relaxed Li2Nd3Ga8 crystal, as listed in Alexandria.

For the final energy, the calculation gives -3.638 eV/atom. The mass density is 5.80 g/cm3. As for the density of states at the Fermi level: 0.32 states/eV/atom. The value obtained for the formation enthalpy at 0 K is -0.38 eV per atom.

The space group is C2/m (No. 12) and the conventional cell measures 13.0716, 5.8765 and 9.2376 Å, with angles of 90.00, 125.88 and 90.00 degrees. The asymmetric unit holds Li at (0.1686, 0.0000, 0.3486), Nd at (0.0000, 0.0000, 0.5000), Nd at (0.0082, 0.5000, 0.8158), Ga at (0.0825, 0.0000, 0.9077), Ga at (0.1171, 0.5000, 0.5789) and Ga at (0.2494, 0.2213, 0.8423).